Compound: Sc6GaPt5
Source: the Alexandria database
Functional: GGA-PBE
Structure: relaxed

density of states at the Fermi level: 0.595 states/eV per atom
electronic total energy: -7.0743 eV per atom
total magnetic moment: 0.000 μB/atom

a = 4.7010 Å, b = 6.5272 Å, c = 7.4752 Å
α = 90.00°, β = 107.97°, γ = 90.00°
Closest atoms and distances in Å follow each position.
Space group P2/m (No. 10)
Unique sites:
Sc  0.0000  0.2418  0.0000 x2  6 Pt 2.74-2.89, 2 Ga 2.89
Sc  0.3241  0.2505  0.6611 x4  7 Pt 2.81-3.02, 1 Ga 2.91
Ga  0.5000  0.5000  0.0000 x1  8 Sc 2.89-2.91, 2 Pt 3.13
Pt  0.1688  0.5000  0.3044 x2  8 Sc 2.74-3.02
Pt  0.1793  0.0000  0.3396 x2  8 Sc 2.81-2.89
Pt  0.5000  0.0000  0.0000 x1  8 Sc 2.83-2.91